First-principles (PBE-GGA) data for a relaxed structure of Tb2YSc4, as listed in Alexandria.

Computed properties:
* volume: 194.2 Å³/f.u.
* energy of formation from the pure elements: 0.0250 eV/atom
* M_tot: 0.00 μB per formula unit

Structure (CIF):
```
data_Tb2YSc4
_chemical_formula_sum 'Tb4 Y2 Sc8'
_symmetry_space_group_name_H-M 'P 1'
_symmetry_Int_Tables_number 1
_cell_length_a 8.059
_cell_length_b 9.112
_cell_length_c 8.755
_cell_angle_alpha 138.22
_cell_angle_beta 114.32
_cell_angle_gamma 75.79
loop_
_symmetry_equiv_pos_as_xyz
'x,y,z'
loop_
_atom_site_label
_atom_site_type_symbol
_atom_site_fract_x
_atom_site_fract_y
_atom_site_fract_z
Tb1 Tb 0.681 0.398 0.032
Tb2 Tb 0.642 0.140 0.468
Tb3 Tb 0.499 0.431 0.335
Tb4 Tb 0.253 0.247 0.594
Y1 Y 0.108 0.540 0.462
Y2 Y 0.068 0.280 0.895
Sc1 Sc 0.832 0.091 0.158
Sc2 Sc 0.345 0.726 0.194
Sc3 Sc 0.919 0.587 0.771
Sc4 Sc 0.777 0.870 0.630
Sc5 Sc 0.208 0.997 0.044
Sc6 Sc 0.404 0.951 0.735
Sc7 Sc 0.543 0.681 0.885
Sc8 Sc 0.972 0.810 0.298
```

***

First-principles (PBE-GGA) data for a relaxed structure of Tb4Y5Sc, as listed in Alexandria.

Computed properties:
* volume: 320.5 Å³/f.u.
* energy of formation from the pure elements: 0.1416 eV/atom
* M_tot: 0.00 μB per formula unit

Structure (CIF):
```
data_Tb4Y5Sc
_chemical_formula_sum 'Tb4 Y5 Sc1'
_symmetry_space_group_name_H-M 'P 1'
_symmetry_Int_Tables_number 1
_cell_length_a 3.579
_cell_length_b 9.453
_cell_length_c 9.794
_cell_angle_alpha 79.87
_cell_angle_beta 100.53
_cell_angle_gamma 90.00
loop_
_symmetry_equiv_pos_as_xyz
'x,y,z'
loop_
_atom_site_label
_atom_site_type_symbol
_atom_site_fract_x
_atom_site_fract_y
_atom_site_fract_z
Tb1 Tb 0.321 0.008 0.642
Tb2 Tb 0.934 0.783 0.868
Tb3 Tb 0.679 0.992 0.358
Tb4 Tb 0.066 0.217 0.132
Y1 Y 0.786 0.644 0.572
Y2 Y 0.886 0.282 0.772
Y3 Y 0.114 0.718 0.228
Y4 Y 0.500 0.500 0.000
Y5 Y 0.214 0.356 0.428
Sc1 Sc 0.500 0.000 0.000
```

***

First-principles (PBE-GGA) data for a relaxed structure of TbY4Sc, as listed in Alexandria.

Computed properties:
* volume: 222.1 Å³/f.u.
* energy of formation from the pure elements: 0.7017 eV/atom
* M_tot: 0.00 μB per formula unit

Structure (CIF):
```
data_TbY4Sc
_chemical_formula_sum 'Tb1 Y4 Sc1'
_symmetry_space_group_name_H-M 'P 1'
_symmetry_Int_Tables_number 1
_cell_length_a 5.037
_cell_length_b 5.037
_cell_length_c 8.753
_cell_angle_alpha 90.00
_cell_angle_beta 90.00
_cell_angle_gamma 90.00
loop_
_symmetry_equiv_pos_as_xyz
'x,y,z'
loop_
_atom_site_label
_atom_site_type_symbol
_atom_site_fract_x
_atom_site_fract_y
_atom_site_fract_z
Tb1 Tb 0.997 0.001 0.502
Y1 Y 0.997 0.501 0.787
Y2 Y 0.997 0.501 0.217
Y3 Y 0.497 0.001 0.217
Y4 Y 0.497 0.001 0.787
Sc1 Sc 0.497 0.501 0.002
```

***

First-principles (PBE-GGA) data for a relaxed structure of TbYSc4, as listed in Alexandria.

Computed properties:
* volume: 174.3 Å³/f.u.
* energy of formation from the pure elements: 0.2123 eV/atom
* M_tot: 6.20 μB per formula unit

Structure (CIF):
```
data_TbYSc4
_chemical_formula_sum 'Tb1 Y1 Sc4'
_symmetry_space_group_name_H-M 'P 1'
_symmetry_Int_Tables_number 1
_cell_length_a 6.270
_cell_length_b 6.270
_cell_length_c 6.270
_cell_angle_alpha 60.00
_cell_angle_beta 60.00
_cell_angle_gamma 60.00
loop_
_symmetry_equiv_pos_as_xyz
'x,y,z'
loop_
_atom_site_label
_atom_site_type_symbol
_atom_site_fract_x
_atom_site_fract_y
_atom_site_fract_z
Y1 Y 0.000 0.000 0.000
Sc1 Sc 0.625 0.625 0.125
Sc2 Sc 0.625 0.125 0.625
Sc3 Sc 0.625 0.625 0.625
Sc4 Sc 0.125 0.625 0.625
Tb1 Tb 0.250 0.250 0.250
```

***

In meV per atom, the polymorph energy (0 for the lowest one) values for the records above are, in order, 0 0 571 146.
In g/cm3, the theoretical density values for the records above are, in order, 5.0 5.8 4.2 4.1.